Record 1
Computed, not measured: a geometry-optimized SrCdIr2 structure at the PBE level of DFT.

Cell and atoms, written as CIF:
```
data_SrCdIr2
_chemical_formula_sum 'Sr2 Cd2 Ir4'
_space_group_name_H-M_alt 'I 4/m m m'
_space_group_IT_number 139
_space_group_name_Hall '-I 4 2'
_cell_length_a 4.324
_cell_length_b 4.324
_cell_length_c 8.449
_cell_angle_alpha 90.00
_cell_angle_beta 90.00
_cell_angle_gamma 90.00
loop_
_atom_site_label
_atom_site_fract_x
_atom_site_fract_y
_atom_site_fract_z
Sr1 0.000 0.000 0.000
Cd1 0.000 0.000 0.500
Ir1 0.000 0.500 0.250
```

---

Record 2
Computed, not measured: a geometry-optimized SrCd2Ir structure at the PBE level of DFT.

Cell and atoms, written as CIF:
```
data_SrCd2Ir
_chemical_formula_sum 'Sr1 Cd2 Ir1'
_space_group_name_H-M_alt 'P m m m'
_space_group_IT_number 47
_space_group_name_Hall '-P 2 2'
_cell_length_a 3.260
_cell_length_b 4.090
_cell_length_c 6.784
_cell_angle_alpha 90.00
_cell_angle_beta 90.00
_cell_angle_gamma 90.00
loop_
_atom_site_label
_atom_site_fract_x
_atom_site_fract_y
_atom_site_fract_z
Sr1 0.000 0.000 0.000
Cd1 0.500 0.500 0.299
Ir1 0.000 0.000 0.500
```

---

Record 3
Computed, not measured: a geometry-optimized SrCdIr2 structure at the PBE level of DFT.

Cell and atoms, written as CIF:
```
data_SrCdIr2
_chemical_formula_sum 'Sr4 Cd4 Ir8'
_space_group_name_H-M_alt 'I -4 2 d'
_space_group_IT_number 122
_space_group_name_Hall 'I -4 2bw'
_cell_length_a 4.696
_cell_length_b 4.696
_cell_length_c 19.066
_cell_angle_alpha 90.00
_cell_angle_beta 90.00
_cell_angle_gamma 90.00
loop_
_atom_site_label
_atom_site_fract_x
_atom_site_fract_y
_atom_site_fract_z
Sr1 0.000 0.000 0.000
Cd1 0.000 0.000 0.500
Ir1 0.076 0.250 0.625
```

---

Record 4
Computed, not measured: a geometry-optimized SrCd2Ir structure at the PBE level of DFT.

Cell and atoms, written as CIF:
```
data_SrCd2Ir
_chemical_formula_sum 'Sr1 Cd2 Ir1'
_space_group_name_H-M_alt 'P m m 2'
_space_group_IT_number 25
_space_group_name_Hall 'P 2 -2'
_cell_length_a 3.348
_cell_length_b 3.840
_cell_length_c 7.421
_cell_angle_alpha 90.00
_cell_angle_beta 90.00
_cell_angle_gamma 90.00
loop_
_atom_site_label
_atom_site_fract_x
_atom_site_fract_y
_atom_site_fract_z
Sr1 0.000 0.000 0.000
Cd1 0.000 0.000 0.573
Cd2 0.500 0.500 0.342
Ir1 0.500 0.500 0.737
```

---

Record 5
Computed, not measured: a geometry-optimized SrCdIr2 structure at the PBE level of DFT.

Cell and atoms, written as CIF:
```
data_SrCdIr2
_chemical_formula_sum 'Sr3 Cd3 Ir6'
_space_group_name_H-M_alt 'R 3 m'
_space_group_IT_number 160
_space_group_name_Hall 'R 3 -2"'
_cell_length_a 2.9799
_cell_length_b 2.9799
_cell_length_c 30.3357
_cell_angle_alpha 90.00
_cell_angle_beta 90.00
_cell_angle_gamma 120.00
loop_
_atom_site_label
_atom_site_fract_x
_atom_site_fract_y
_atom_site_fract_z
Sr1 0.0000 0.0000 0.0000
Cd1 0.0000 0.0000 0.7687
Ir1 0.0000 0.0000 0.2471
Ir2 0.0000 0.0000 0.5129
```

---

Record 6
Computed, not measured: a geometry-optimized SrCd2Ir structure at the PBE level of DFT.

Cell and atoms, written as CIF:
```
data_SrCd2Ir
_chemical_formula_sum 'Sr4 Cd8 Ir4'
_space_group_name_H-M_alt 'F m -3 m'
_space_group_IT_number 225
_space_group_name_Hall '-F 4 2 3'
_cell_length_a 7.102
_cell_length_b 7.102
_cell_length_c 7.102
_cell_angle_alpha 90.00
_cell_angle_beta 90.00
_cell_angle_gamma 90.00
loop_
_atom_site_label
_atom_site_fract_x
_atom_site_fract_y
_atom_site_fract_z
Sr1 0.000 0.000 0.000
Cd1 0.250 0.250 0.250
Ir1 0.000 0.000 0.500
```

---

Number 1: ΔH_f (0 K) 0.3590 eV per atom, magnetization 0.0 Bohr magnetons per cell. Number 2: ΔH_f (0 K) 0.0441 eV per atom, magnetization 0.0 Bohr magnetons per cell. Number 3: ΔH_f (0 K) 0.2136 eV per atom, magnetization 0.0 Bohr magnetons per cell. Number 4: ΔH_f (0 K) 0.0037 eV per atom, magnetization 0.0 Bohr magnetons per cell. Number 5: ΔH_f (0 K) 0.5764 eV per atom, magnetization 0.0 Bohr magnetons per cell. Number 6: ΔH_f (0 K) 0.0458 eV per atom, magnetization 0.0 Bohr magnetons per cell.